1.
Computed, not measured: Gd2AgSe after structural relaxation at the GGA-PBE level of DFT.

Summary:
E_tot in eV per atom: -9.509
Relative energy among the computed polymorphs in eV per atom: 0.0000
Symmetry: No. 123
Spin magnetization in μB per cell: 15.156

Unit cell a=3.636 b=3.636 c=7.255 alpha=90.00 beta=90.00 gamma=90.00
Last column: magnetic moment on the atom in μB.
Fractional positions:
Ag1 0.500 0.500 0.500  0.03
Se1 0.500 0.500 0.000  -0.04
Gd1 0.000 0.000 0.243  7.27
Gd2 0.000 0.000 0.757  7.27

2.
Computed, not measured: LiTaCo3 after structural relaxation at the GGA-PBE level of DFT.

Summary:
E_tot in eV per atom: -5.808
Relative energy among the computed polymorphs in eV per atom: 0.7011
Symmetry: No. 221
Spin magnetization in μB per cell: 1.464

Unit cell a=4.523 b=4.523 c=4.523 alpha=90.00 beta=90.00 gamma=90.00
Last column: magnetic moment on the atom in μB.
Fractional positions:
Ta1 0.000 0.000 0.000  -0.22
Co1 0.500 0.000 0.000  0.43
Co2 0.000 0.500 0.000  0.64
Co3 0.000 0.000 0.500  0.71
Li1 0.500 0.500 0.500  -0.01

3.
Computed, not measured: TlB3Se after structural relaxation at the GGA-PBE level of DFT.

Summary:
E_tot in eV per atom: -2.801
Relative energy among the computed polymorphs in eV per atom: 0.4591
Symmetry: No. 221
Spin magnetization in μB per cell: 0.000

Unit cell a=4.587 b=4.587 c=4.587 alpha=90.00 beta=90.00 gamma=90.00
Fractional positions:
Tl1 0.000 0.000 0.000
B1 0.000 0.500 0.000
B2 0.500 0.000 0.000
B3 0.000 0.000 0.500
Se1 0.500 0.500 0.500

4.
Computed, not measured: Nd5WN6 after structural relaxation at the GGA-PBE level of DFT.

Summary:
E_tot in eV per atom: -8.335
Symmetry: No. 12
Spin magnetization in μB per cell: 0.000

Unit cell a=6.084 b=6.108 c=6.099 alpha=59.95 beta=80.45 gamma=70.65
Fractional positions:
Nd1 0.500 0.835 0.330
Nd2 0.500 0.500 0.000
Nd3 0.000 0.667 0.667
Nd4 0.000 0.333 0.333
Nd5 0.500 0.165 0.670
N1 0.782 0.364 0.709
N2 0.218 0.927 0.709
N3 0.231 0.220 0.000
N4 0.769 0.780 0.000
N5 0.218 0.636 0.291
N6 0.782 0.073 0.291
W1 0.000 0.000 0.000

Question: What is the spin magnetization in the fourth record?
Answer: 0.000 μB per cell